# 1
This record from the Alexandria database describes TbSm3Si4 after structural relaxation. The functional is PBE-GGA.

Computed properties:
As for the total magnetic moment: 0.0 μB per formula unit. The energy relative to the elements, uncorrected is -0.56 eV/atom.

abc: 4.093 6.314 8.780
angles: 111.08 103.48 90.00
Fractional positions:
Si: 0.369 0.554 0.739
Tb: 0.500 0.000 0.000
Sm: 0.000 0.500 0.000
Si: 0.369 0.185 0.739
Si: 0.631 0.446 0.261
Sm: 0.194 0.194 0.388
Si: 0.631 0.815 0.261
Sm: 0.806 0.806 0.612



# 2
This record from the Alexandria database describes Tb2SmSi after structural relaxation. The functional is PBE-GGA.

Computed properties:
As for the total magnetic moment: 0.0 μB per formula unit. The energy above the most stable polymorph in this dataset comes out at 0 meV/atom. The energy relative to the elements, uncorrected is -0.26 eV/atom.

abc: 4.662 4.679 4.679
angles: 90.00 90.00 90.00
Fractional positions:
Tb: 0.000 0.000 0.500
Tb: 0.000 0.500 0.000
Sm: 0.500 0.000 0.000
Si: 0.500 0.500 0.500



# 3
This record from the Alexandria database describes Tb3Sm3Si4 after structural relaxation. The functional is PBE-GGA.

Computed properties:
As for the total magnetic moment: 0.0 μB per formula unit. The energy relative to the elements, uncorrected is -0.69 eV/atom.

abc: 4.296 7.576 7.576
angles: 89.67 90.00 90.00
Fractional positions:
Si: 0.000 0.383 0.617
Si: 0.000 0.613 0.387
Sm: 0.500 0.824 0.176
Si: 0.000 0.116 0.112
Sm: 0.500 0.676 0.678
Tb: 0.000 0.999 0.499
Si: 0.000 0.888 0.884
Tb: 0.500 0.177 0.823
Tb: 0.000 0.501 0.001
Sm: 0.500 0.322 0.324



# 4
This record from the Alexandria database describes TbSmSi after structural relaxation. The functional is PBE-GGA.

Computed properties:
As for the total magnetic moment: 0.0 μB per formula unit. The energy above the most stable polymorph in this dataset comes out at 0 meV/atom. The energy relative to the elements, uncorrected is -0.46 eV/atom.

abc: 4.915 4.915 4.915
angles: 60.00 60.00 60.00
Fractional positions:
Sm: 0.500 0.500 0.500
Tb: 0.000 0.000 0.000
Si: 0.250 0.250 0.250